A plane-wave DFT calculation with PBE-GGA was carried out for Pm2C2O after structural relaxation. Values from VASP.

Calculated values
Raw total energy, eV per atom: -7.78
Energy relative to the elements, uncorrected, eV/f.u.: -5.99

```
&SYSTEM
  ibrav = 0, nat = 10, ntyp = 3
/
ATOMIC_SPECIES
Pm 145.00 Pm.upf
C 12.01 C.upf
O 16.00 O.upf
ATOMIC_POSITIONS crystal
Pm 0.028 0.710 0.909
Pm 0.290 0.972 0.591
Pm 0.710 0.028 0.409
Pm 0.972 0.290 0.091
C 0.149 0.402 0.479
C 0.402 0.149 0.979
C 0.598 0.851 0.021
C 0.851 0.598 0.521
O 0.019 0.981 0.250
O 0.981 0.019 0.750
CELL_PARAMETERS angstrom
6.655 -2.128 0.000
6.655 2.128 0.000
-2.207 0.000 6.191
```